Record 1
DFT (PBE) results for a relaxed Mn24Pt5 crystal.

Cell: 7.592 7.592 7.592 Å, 109.47 109.47 109.47°
Atoms (fractional coordinates):
Mn1 0.000 0.624 0.804
Mn2 0.000 0.804 0.624
Mn3 0.820 0.196 0.196
Mn4 0.180 0.376 0.376
Mn5 0.196 0.820 0.196
Mn6 0.376 0.180 0.376
Mn7 0.804 0.000 0.624
Mn8 0.624 0.000 0.804
Mn9 0.804 0.624 0.000
Mn10 0.624 0.804 0.000
Mn11 0.376 0.376 0.180
Mn12 0.196 0.196 0.820
Mn13 0.000 0.620 0.331
Mn14 0.000 0.331 0.620
Mn15 0.288 0.669 0.669
Mn16 0.712 0.380 0.380
Mn17 0.669 0.288 0.669
Mn18 0.380 0.712 0.380
Mn19 0.331 0.000 0.620
Mn20 0.620 0.000 0.331
Mn21 0.331 0.620 0.000
Mn22 0.620 0.331 0.000
Mn23 0.380 0.380 0.712
Mn24 0.669 0.669 0.288
Pt1 0.000 0.368 0.000
Pt2 0.000 0.000 0.368
Pt3 0.368 0.000 0.000
Pt4 0.632 0.632 0.632
Pt5 0.000 0.000 0.000

Output
Total magnetic moment ... 0.07 Bohr magnetons per cell
ΔE_f ... -0.05 eV/atom
D(E_F) ... 33.41 states/eV/cell

---

Record 2
DFT (PBE) results for a relaxed Ta2ReMo crystal.

Cell: 5.366 5.366 5.366 Å, 145.19 130.27 62.13°
Atoms (fractional coordinates):
Re1 0.253 0.753 0.500
Mo1 0.497 0.497 0.000
Ta1 0.005 0.005 0.000
Ta2 0.746 0.246 0.500

Output
Energy relative to the lowest polymorph listed for this composition ... 69.0 meV per atom
Total magnetic moment ... 0.00 Bohr magnetons per cell
ΔE_f ... -0.28 eV/atom
D(E_F) ... 1.74 states/eV/cell

---

Record 3
DFT (PBE) results for a relaxed ZrHgMo2 crystal.

Cell: 2.768 4.700 5.810 Å, 90.00 90.00 90.00°
Atoms (fractional coordinates):
Hg1 0.500 0.500 0.750
Mo1 0.000 0.000 0.023
Mo2 0.000 0.000 0.477
Zr1 0.500 0.500 0.250

Output
Total magnetic moment ... 0.00 Bohr magnetons per cell
ΔE_f ... 0.45 eV/atom
D(E_F) ... 4.40 states/eV/cell